Below is an optimized crystal structure of Al2SiHg, with properties calculated at the PBE level.

Calculated values
- uncorrected formation energy (kcal/mol of atoms) = 6.2
- magnetization (Bohr magnetons per cell) = 0.00
- theoretical density (Mg/m³) = 6.122
- symmetry = No. 160
- DOS(E_F) (states/eV/cell) = 1.15

Unit cell a=11.168 b=11.168 c=11.168 alpha=14.56 beta=14.56 gamma=14.56
Element x y z (fractional)
1 Si 0.739 0.739 0.739
2 Hg 0.502 0.502 0.502
3 Al 0.999 0.999 0.999
4 Al 0.261 0.261 0.261

=====

Below is an optimized crystal structure of CdRu, with properties calculated at the PBE level.

Calculated values
- magnetization (Bohr magnetons per cell) = 0.00
- energy of formation from the pure elements (eV per atom) = 0.3791
- theoretical density (Mg/m³) = 9.165
- symmetry = No. 38
- DOS(E_F) (states/eV/cell) = 10.35

Unit cell a=2.825 b=12.022 c=6.832 alpha=90.00 beta=90.00 gamma=90.00
Element x y z (fractional)
1 Cd 0.000 0.256 0.805
2 Cd 0.000 0.744 0.805
3 Cd 0.000 0.756 0.305
4 Cd 0.000 0.244 0.305
5 Cd 0.500 0.000 0.947
6 Cd 0.500 0.500 0.447
7 Ru 0.500 0.898 0.568
8 Ru 0.500 0.102 0.568
9 Ru 0.500 0.398 0.068
10 Ru 0.500 0.602 0.068
11 Ru 0.000 0.000 0.309
12 Ru 0.000 0.500 0.809

=====

Below is an optimized crystal structure of RbCuS2N, with properties calculated at the PBE level.

Calculated values
- uncorrected formation energy (kcal/mol of atoms) = 14.8
- magnetization (Bohr magnetons per cell) = 0.53
- theoretical density (Mg/m³) = 3.835
- symmetry = No. 123
- DOS(E_F) (states/eV/cell) = 4.16

Unit cell a=5.079 b=5.079 c=3.813 alpha=90.00 beta=90.00 gamma=90.00
Site moments in Bohr magnetons follow the coordinates.
Element x y z (fractional)
1 S 0.000 0.500 0.000  -0.29
2 S 0.500 0.000 0.000  -0.29
3 Cu 0.000 0.000 0.000  0.11
4 Rb 0.500 0.500 0.500  -0.01
5 N 0.000 0.000 0.500  0.96

=====

Below is an optimized crystal structure of KTaAg2, with properties calculated at the PBE level.

Calculated values
- magnetization (Bohr magnetons per cell) = 0.00
- energy of formation from the pure elements (eV per atom) = 0.5908
- theoretical density (Mg/m³) = 8.493
- symmetry = No. 160
- DOS(E_F) (states/eV/cell) = 3.54

Unit cell a=11.041 b=11.041 c=11.041 alpha=15.64 beta=15.64 gamma=15.64
Element x y z (fractional)
1 Ag 0.999 0.999 0.999
2 Ag 0.260 0.260 0.260
3 K 0.503 0.503 0.503
4 Ta 0.738 0.738 0.738

=====

Below is an optimized crystal structure of KCuMo2, with properties calculated at the PBE level.

Calculated values
- magnetization (Bohr magnetons per cell) = 0.00
- energy of formation from the pure elements (eV per atom) = 0.8645
- theoretical density (Mg/m³) = 5.580
- symmetry = No. 8
- DOS(E_F) (states/eV/cell) = 3.71

Unit cell a=4.604 b=4.604 c=7.598 alpha=88.62 beta=88.62 gamma=32.98
Element x y z (fractional)
1 Cu 0.508 0.508 0.408
2 K 0.757 0.757 0.741
3 Mo 0.994 0.994 0.095
4 Mo 0.241 0.241 0.256

=====

Below is an optimized crystal structure of AlIn3Ru, with properties calculated at the PBE level.

Calculated values
- magnetization (Bohr magnetons per cell) = 2.26
- energy of formation from the pure elements (eV per atom) = 1.1222
- theoretical density (Mg/m³) = 5.645
- symmetry = No. 221
- DOS(E_F) (states/eV/cell) = 5.73

Unit cell a=5.180 b=5.180 c=5.180 alpha=90.00 beta=90.00 gamma=90.00
Site moments in Bohr magnetons follow the coordinates.
Element x y z (fractional)
1 Ru 0.500 0.500 0.500  2.16
2 Al 0.000 0.000 0.000  0.01
3 In 0.000 0.500 0.000  -0.02
4 In 0.000 0.000 0.500  0.01
5 In 0.500 0.000 0.000  -0.02

=====

Below is an optimized crystal structure of Hf2ScGa, with properties calculated at the PBE level.

Calculated values
- magnetization (Bohr magnetons per cell) = 0.00
- energy of formation from the pure elements (eV per atom) = -0.2341
- theoretical density (Mg/m³) = 9.715
- symmetry = No. 123
- DOS(E_F) (states/eV/cell) = 4.34

Unit cell a=4.332 b=4.314 c=4.314 alpha=90.00 beta=90.00 gamma=90.00
Element x y z (fractional)
1 Sc 0.500 0.000 0.000
2 Hf 0.000 0.000 0.500
3 Hf 0.000 0.500 0.000
4 Ga 0.500 0.500 0.500

=====

Below is an optimized crystal structure of Rb2SrTa, with properties calculated at the PBE level.

Calculated values
- magnetization (Bohr magnetons per cell) = 9.76
- energy of formation from the pure elements (eV per atom) = 1.4187
- theoretical density (Mg/m³) = 3.738
- symmetry = No. 122
- DOS(E_F) (states/eV/cell) = 7.08

Unit cell a=5.229 b=5.229 c=14.755 alpha=79.79 beta=79.79 gamma=90.00
Site moments in Bohr magnetons follow the coordinates.
Element x y z (fractional)
1 Sr 0.500 0.500 0.000  0.13
2 Sr 0.250 0.750 0.500  0.13
3 Rb 0.644 0.125 0.250  0.03
4 Rb 0.106 0.625 0.250  0.03
5 Rb 0.375 0.356 0.750  0.03
6 Rb 0.875 0.894 0.750  0.03
7 Ta 0.000 0.000 0.000  2.27
8 Ta 0.750 0.250 0.500  2.27